Material: TaTlFe3
Method: DFT, GGA-PBEsol
State: relaxed

Summary:
- V: 91 Å³/cell
- Formation energy: 1.45 eV per atom
- E: -6.96 eV per atom

abc: 4.5061 4.5061 4.5061
angles: 90.00 90.00 90.00
Last column: nearest neighbours and their distance in Å.
Space group Pm-3m (No. 221)
One atom of each set of equivalent atoms:
1 Ta 0.0000 0.0000 0.0000 (multiplicity 1)  6 Fe 2.25
2 Tl 0.5000 0.5000 0.5000 (multiplicity 1)  12 Fe 3.19
3 Fe 0.0000 0.0000 0.5000 (multiplicity 3)  2 Ta 2.25

Material: LaMgMn
Method: DFT, GGA-PBEsol
State: relaxed

Summary:
- V: 69 Å³/cell
- Formation energy: 0.48 eV per atom
- E: -5.12 eV per atom

abc: 3.2369 3.2369 7.6588
angles: 90.00 90.00 120.00
Last column: nearest neighbours and their distance in Å.
Space group P3m1 (No. 156)
One atom of each set of equivalent atoms:
1 La 0.0000 0.0000 0.0000 (multiplicity 1)  3 Mn 3.09, 6 La 3.24
2 Mg 0.3333 0.6667 0.6067 (multiplicity 1)  3 Mn 2.88
3 Mn 0.6667 0.3333 0.3212 (multiplicity 1)  3 Mg 2.88, 3 La 3.09

Material: ZrScPt2
Method: DFT, GGA-PBEsol
State: relaxed

Summary:
- V: 147 Å³/cell
- Formation energy: -1.13 eV per atom
- E: -8.54 eV per atom

abc: 4.3183 3.3625 10.1055
angles: 90.00 90.00 90.00
Last column: nearest neighbours and their distance in Å.
Space group Amm2 (No. 38)
One atom of each set of equivalent atoms:
1 Zr 0.0000 0.0000 0.0000 (multiplicity 2)  7 Pt 2.70-2.89
2 Sc 0.5000 0.0000 0.7157 (multiplicity 2)  7 Pt 2.70-2.89
3 Pt 0.0000 0.0000 0.2675 (multiplicity 2)  3 Zr 2.70-2.89, 4 Sc 2.79, 2 Pt 2.83
4 Pt 0.5000 0.0000 0.4485 (multiplicity 2)  3 Sc 2.70-2.89, 4 Zr 2.79, 2 Pt 2.83

Material: Ba2AlNi
Method: DFT, GGA-PBEsol
State: relaxed

Summary:
- V: 418 Å³/cell
- Formation energy: 0.26 eV per atom
- E: -3.37 eV per atom

abc: 7.4774 7.4774 7.4774
angles: 90.00 90.00 90.00
Last column: nearest neighbours and their distance in Å.
Space group F-43m (No. 216)
One atom of each set of equivalent atoms:
1 Ba 0.0000 0.0000 0.0000 (multiplicity 4)  4 Ba 3.24, 4 Ni 3.24
2 Ba 0.2500 0.2500 0.2500 (multiplicity 4)  4 Ba 3.24, 4 Al 3.24
3 Al 0.0000 0.0000 0.5000 (multiplicity 4)  4 Ba 3.24, 4 Ni 3.24
4 Ni 0.2500 0.2500 0.7500 (multiplicity 4)  4 Ba 3.24, 4 Al 3.24

Material: Hf2MnAg
Method: DFT, GGA-PBEsol
State: relaxed

Summary:
- V: 271 Å³/cell
- Formation energy: 0.01 eV per atom
- E: -8.51 eV per atom

abc: 6.4707 6.4707 6.4707
angles: 90.00 90.00 90.00
Last column: nearest neighbours and their distance in Å.
Space group Fm-3m (No. 225)
One atom of each set of equivalent atoms:
1 Hf 0.2500 0.2500 0.2500 (multiplicity 8)  4 Mn 2.80, 4 Ag 2.80
2 Mn 0.0000 0.0000 0.0000 (multiplicity 4)  8 Hf 2.80
3 Ag 0.0000 0.0000 0.5000 (multiplicity 4)  8 Hf 2.80

Material: Zr2CuMo
Method: DFT, GGA-PBEsol
State: relaxed

Summary:
- V: 279 Å³/cell
- Energy relative to the lowest polymorph listed for this composition: 0 meV/atom
- Formation energy: -0.07 eV per atom
- E: -8.64 eV per atom

abc: 6.5319 6.5319 6.5319
angles: 90.00 90.00 90.00
Last column: nearest neighbours and their distance in Å.
Space group Fm-3m (No. 225)
One atom of each set of equivalent atoms:
1 Zr 0.2500 0.2500 0.2500 (multiplicity 8)  4 Mo 2.83, 4 Cu 2.83
2 Cu 0.0000 0.0000 0.0000 (multiplicity 4)  8 Zr 2.83
3 Mo 0.0000 0.0000 0.5000 (multiplicity 4)  8 Zr 2.83

Material: LiSc2Hg2
Method: DFT, GGA-PBEsol
State: relaxed

Summary:
- V: 216 Å³/cell
- Formation energy: -0.39 eV per atom
- E: -3.65 eV per atom

abc: 7.8072 7.8072 3.5362
angles: 90.00 90.00 90.00
Last column: nearest neighbours and their distance in Å.
Space group P4/mbm (No. 127)
One atom of each set of equivalent atoms:
1 Li 0.0000 0.0000 0.0000 (multiplicity 2)  4 Hg 3.01
2 Sc 0.1591 0.3409 0.5000 (multiplicity 4)  6 Hg 2.83-2.94
3 Hg 0.1405 0.6405 0.0000 (multiplicity 4)  6 Sc 2.83-2.94, 2 Li 3.01, 1 Hg 3.10

Material: Be2NiTe
Method: DFT, GGA-PBEsol
State: relaxed

Summary:
- V: 53 Å³/cell
- E: -4.11 eV per atom
- Formation energy (no corrections): 0.308 eV per atom

abc: 3.3091 3.3091 4.8420
angles: 90.00 90.00 90.00
Last column: nearest neighbours and their distance in Å.
Space group P4mm (No. 99)
One atom of each set of equivalent atoms:
1 Be 0.0000 0.0000 0.0000 (multiplicity 1)  1 Ni 2.13
2 Be 0.5000 0.5000 0.2350 (multiplicity 1)  2 Te 2.41-2.43, 4 Ni 2.54, 4 Be 2.60
3 Ni 0.0000 0.0000 0.4390 (multiplicity 1)  1 Be 2.13
4 Te 0.5000 0.5000 0.7324 (multiplicity 1)  6 Be 2.41-2.67

Material: CaLa2CoO6
Method: DFT, GGA-PBEsol
State: relaxed

Summary:
- V: 375 Å³/cell
- E: -7.83 eV per atom
- Formation energy (no corrections): -2.621 eV per atom

abc: 5.7310 5.7310 13.1882
angles: 90.00 90.00 120.00
Last column: nearest neighbours and their distance in Å.
Space group R-3 (No. 148, hexagonal axes)
One atom of each set of equivalent atoms:
1 Ca 0.0000 0.0000 0.0000 (multiplicity 3)  6 O 2.22
2 La 0.0000 0.0000 0.2587 (multiplicity 6)  6 O 2.39-2.61
3 Co 0.0000 0.0000 0.5000 (multiplicity 3)  6 O 1.87
4 O 0.0398 0.6048 0.2477 (multiplicity 18)  1 Co 1.87

Material: TiFeSi2Rh
Method: DFT, GGA-PBEsol
State: relaxed

Summary:
- V: 84 Å³/cell
- E: -6.32 eV per atom
- Formation energy (no corrections): 1.068 eV per atom

abc: 4.5561 4.5561 4.0334
angles: 90.00 90.00 90.00
Last column: nearest neighbours and their distance in Å.
Space group P4/mmm (No. 123)
One atom of each set of equivalent atoms:
1 Ti 0.0000 0.0000 0.0000 (multiplicity 1)  2 Fe 2.02
2 Fe 0.0000 0.0000 0.5000 (multiplicity 1)  2 Ti 2.02
3 Si 0.0000 0.5000 0.0000 (multiplicity 2)  2 Ti 2.28
4 Rh 0.5000 0.5000 0.5000 (multiplicity 1)  8 Si 3.04, 4 Fe 3.22

Material: Mn2BeHg
Method: DFT, GGA-PBEsol
State: relaxed

Summary:
- V: 107 Å³/cell
- Energy relative to the lowest polymorph listed for this composition: 0 meV/atom
- Formation energy: 0.39 eV per atom
- E: -5.63 eV per atom

abc: 3.7500 3.7500 7.6097
angles: 90.00 90.00 90.00
Last column: nearest neighbours and their distance in Å.
Space group I4/mmm (No. 139)
One atom of each set of equivalent atoms:
1 Mn 0.0000 0.5000 0.2500 (multiplicity 4)  4 Mn 2.65, 4 Hg 2.67, 4 Be 2.67
2 Be 0.0000 0.0000 0.0000 (multiplicity 2)  4 Hg 2.65, 8 Mn 2.67
3 Hg 0.0000 0.0000 0.5000 (multiplicity 2)  4 Be 2.65, 8 Mn 2.67

Material: Li2Si
Method: DFT, GGA-PBEsol
State: relaxed

Summary:
- V: 294 Å³/cell
- E: -3.45 eV per atom
- Formation energy (no corrections): -0.221 eV per atom

abc: 4.3008 4.3008 18.3404
angles: 90.00 90.00 120.00
Last column: nearest neighbours and their distance in Å.
Space group R-3m (No. 166, hexagonal axes)
One atom of each set of equivalent atoms:
1 Li 0.0000 0.0000 0.1445 (multiplicity 6)  3 Si 2.59, 4 Li 2.61-2.75
2 Li 0.0000 0.0000 0.2946 (multiplicity 6)  4 Si 2.63-2.76, 4 Li 2.75-2.86
3 Si 0.0000 0.0000 0.4380 (multiplicity 6)  1 Si 2.27

Q: What is the V in the seventh record?
A: 216 Å³/cell

Q: Which value of V does entry 3 give?
A: 147 Å³/cell